PmTh2Sc: relaxed, PBE-GGA.

Cell and atoms, written as extended XYZ:
```
8
Lattice="3.563 0.000 -0.004 0.000 3.563 0.000 0.020 0.000 19.483" Properties=species:S:1:pos:R:3 pbc="T T T"
Th 0.909 0.891 18.253
Th 2.680 2.672 5.832
Th 2.674 2.672 1.226
Th 0.903 0.891 13.647
Pm 0.900 0.891 8.309
Pm 2.682 2.672 11.170
Sc 0.896 0.891 3.570
Sc 2.687 2.672 15.910
```

Results
Offset from the most stable computed form (meV/atom): 0

=====

Pm5Th2Sc4: relaxed, PBE-GGA.

Cell and atoms, written as extended XYZ:
```
11
Lattice="-0.026 3.231 -1.045 3.040 -3.283 -10.223 -10.188 -0.795 3.317" Properties=species:S:1:pos:R:3 pbc="T T T"
Sc 0.078 -0.161 -6.016
Sc 2.178 -2.352 -7.325
Sc -7.252 -0.686 -1.936
Sc 0.862 -0.931 -2.899
Pm -0.867 -2.601 -8.017
Pm -0.013 1.615 -0.523
Pm -5.058 0.404 -4.137
Pm -6.308 1.754 0.065
Pm -2.116 -1.252 -3.815
Th -3.742 -0.522 -7.036
Th -3.432 -0.325 -0.916
```

Results
Total DFT energy (no corrections) (eV/atom): -5.5671

=====

PmThScTi: relaxed, PBE-GGA.

Cell and atoms, written as extended XYZ:
```
4
Lattice="-1.032 -0.691 5.161 3.364 -2.769 3.032 2.944 2.487 3.651" Properties=species:S:1:pos:R:3 pbc="T T T"
Th 2.638 -0.486 5.922
Pm 0.000 0.000 0.000
Ti 3.957 -0.730 8.883
Sc 1.319 -0.243 2.961
```

Results
Total DFT energy (no corrections) (eV/atom): -6.4269

=====

PmThScTl: relaxed, PBE-GGA.

Cell and atoms, written as extended XYZ:
```
4
Lattice="5.418 0.000 0.000 2.709 4.693 0.000 2.709 1.564 4.424" Properties=species:S:1:pos:R:3 pbc="T T T"
Th 5.418 3.128 2.212
Sc 0.000 0.000 0.000
Tl 8.128 4.693 3.318
Pm 2.709 1.564 1.106
```

Results
Total DFT energy (no corrections) (eV/atom): -5.1463

=====

PmTmThSc3: relaxed, PBE-GGA.

Cell and atoms, written as extended XYZ:
```
12
Lattice="-0.050 -2.097 2.727 -6.902 -5.906 -4.669 9.228 -3.373 -2.423" Properties=species:S:1:pos:R:3 pbc="T T T"
Tm 4.848 -3.393 -1.434
Tm -2.573 -7.983 -2.930
Sc 7.974 -4.543 -2.260
Sc -5.698 -6.833 -2.104
Sc -0.063 -5.715 -3.310
Sc 3.046 -6.827 -4.108
Sc 2.339 -5.660 -1.053
Sc -0.770 -4.548 -0.256
Pm 0.549 -9.109 -3.739
Pm 1.727 -2.266 -0.625
Th -3.190 -4.660 -2.557
Th 5.465 -6.715 -1.806
```

Results
Total DFT energy (no corrections) (eV/atom): -5.8895

=====

PmTmThSc: relaxed, PBE-GGA.

Cell and atoms, written as extended XYZ:
```
4
Lattice="-1.415 -1.848 -2.679 3.156 -1.492 -0.638 -2.146 -7.121 6.047" Properties=species:S:1:pos:R:3 pbc="T T T"
Tm -0.874 -7.460 3.258
Pm -0.174 -0.577 0.490
Sc 0.166 -4.008 0.327
Th -1.207 -4.004 3.400
```

Results
Offset from the most stable computed form (meV/atom): 0

=====

PmTm2ThSc4: relaxed, PBE-GGA.

Cell and atoms, written as extended XYZ:
```
8
Lattice="-2.819 0.053 4.076 4.024 -0.806 2.793 5.287 8.153 3.551" Properties=species:S:1:pos:R:3 pbc="T T T"
Sc 2.933 1.488 5.023
Sc -0.488 1.919 5.664
Sc 6.979 5.481 4.756
Sc 3.558 5.912 5.397
Pm 5.889 7.777 6.985
Th 4.655 3.674 3.172
Tm 1.234 4.103 3.813
Tm 5.287 8.153 3.551
```

Results
Total DFT energy (no corrections) (eV/atom): -5.7637

=====

Pm2TmThSc4: relaxed, PBE-GGA.

Cell and atoms, written as extended XYZ:
```
8
Lattice="-3.174 3.326 1.935 -3.541 -1.534 -3.171 -6.309 -7.719 2.920" Properties=species:S:1:pos:R:3 pbc="T T T"
Th -4.925 -4.627 -0.126
Sc -7.199 -4.497 2.351
Sc -5.643 1.000 1.885
Sc -7.382 -6.927 -0.201
Sc -5.825 -1.430 -0.667
Tm -9.667 -6.823 2.302
Pm -4.742 -2.196 2.427
Pm -6.309 -7.719 2.920
```

Results
Total DFT energy (no corrections) (eV/atom): -5.7900